Below is a geometry-optimized Mg2InBr structure, with properties calculated at the GGA-PBE level.

Geometry as CIF:
```
data_Mg2InBr
_cell_length_a 6.317
_cell_length_b 6.317
_cell_length_c 6.317
_cell_angle_alpha 139.71
_cell_angle_beta 139.71
_cell_angle_gamma 58.29
_symmetry_space_group_name_H-M 'P 1'
_symmetry_Int_Tables_number 1
loop_
_symmetry_equiv_pos_as_xyz
'x,y,z'
loop_
_atom_site_label
_atom_site_type_symbol
_atom_site_fract_x
_atom_site_fract_y
_atom_site_fract_z
Br1 Br 0.500 0.500 0.000
In1 In 0.750 0.250 0.500
Mg1 Mg 0.000 0.000 0.000
Mg2 Mg 0.250 0.750 0.500
```

## Properties
E_form (uncorrected) in eV per formula unit: -0.7
Crystal system: tetragonal
Excess energy over the best structure of this formula in the dataset in eV/f.u.: 0.95

***

Below is a geometry-optimized MgIn2Br structure, with properties calculated at the GGA-PBE level.

Geometry as CIF:
```
data_MgIn2Br
_cell_length_a 6.271
_cell_length_b 6.271
_cell_length_c 6.271
_cell_angle_alpha 137.98
_cell_angle_beta 137.98
_cell_angle_gamma 60.93
_symmetry_space_group_name_H-M 'P 1'
_symmetry_Int_Tables_number 1
loop_
_symmetry_equiv_pos_as_xyz
'x,y,z'
loop_
_atom_site_label
_atom_site_type_symbol
_atom_site_fract_x
_atom_site_fract_y
_atom_site_fract_z
Br1 Br 0.750 0.250 0.500
In1 In 0.000 0.000 0.000
In2 In 0.500 0.500 0.000
Mg1 Mg 0.250 0.750 0.500
```

## Properties
E_form (uncorrected) in eV per formula unit: -0.7
Crystal system: tetragonal
Excess energy over the best structure of this formula in the dataset in eV/f.u.: 0.69

***

Below is a geometry-optimized MgIn2Br structure, with properties calculated at the GGA-PBE level.

Geometry as CIF:
```
data_MgIn2Br
_cell_length_a 3.660
_cell_length_b 3.660
_cell_length_c 8.094
_cell_angle_alpha 90.00
_cell_angle_beta 90.00
_cell_angle_gamma 90.00
_symmetry_space_group_name_H-M 'P 1'
_symmetry_Int_Tables_number 1
loop_
_symmetry_equiv_pos_as_xyz
'x,y,z'
loop_
_atom_site_label
_atom_site_type_symbol
_atom_site_fract_x
_atom_site_fract_y
_atom_site_fract_z
Br1 Br 0.500 0.500 0.750
In1 In 0.000 0.000 0.020
In2 In 0.000 0.000 0.480
Mg1 Mg 0.500 0.500 0.250
```

## Properties
E_form (uncorrected) in eV per formula unit: -0.5
Crystal system: tetragonal
Excess energy over the best structure of this formula in the dataset in eV/f.u.: 0.84

***

Below is a geometry-optimized MgInBr3 structure, with properties calculated at the GGA-PBE level.

Geometry as CIF:
```
data_MgInBr3
_cell_length_a 3.999
_cell_length_b 9.778
_cell_length_c 15.644
_cell_angle_alpha 90.00
_cell_angle_beta 90.00
_cell_angle_gamma 90.00
_symmetry_space_group_name_H-M 'P 1'
_symmetry_Int_Tables_number 1
loop_
_symmetry_equiv_pos_as_xyz
'x,y,z'
loop_
_atom_site_label
_atom_site_type_symbol
_atom_site_fract_x
_atom_site_fract_y
_atom_site_fract_z
Mg1 Mg 0.250 0.158 0.553
Mg2 Mg 0.750 0.842 0.447
Mg3 Mg 0.250 0.658 0.947
Mg4 Mg 0.750 0.342 0.053
In1 In 0.250 0.491 0.326
In2 In 0.750 0.509 0.674
In3 In 0.250 0.991 0.174
In4 In 0.750 0.009 0.826
Br1 Br 0.750 0.479 0.901
Br2 Br 0.250 0.521 0.099
Br3 Br 0.750 0.979 0.599
Br4 Br 0.250 0.021 0.401
Br5 Br 0.750 0.822 0.002
Br6 Br 0.250 0.178 0.998
Br7 Br 0.750 0.322 0.498
Br8 Br 0.250 0.678 0.502
Br9 Br 0.750 0.234 0.207
Br10 Br 0.250 0.766 0.793
Br11 Br 0.750 0.734 0.293
Br12 Br 0.250 0.266 0.707
```

## Properties
E_form (uncorrected) in eV per formula unit: -5.7
Crystal system: orthorhombic

***

Below is a geometry-optimized MgIn2Br structure, with properties calculated at the GGA-PBE level.

Geometry as CIF:
```
data_MgIn2Br
_cell_length_a 3.370
_cell_length_b 3.370
_cell_length_c 9.911
_cell_angle_alpha 90.00
_cell_angle_beta 90.00
_cell_angle_gamma 90.00
_symmetry_space_group_name_H-M 'P 1'
_symmetry_Int_Tables_number 1
loop_
_symmetry_equiv_pos_as_xyz
'x,y,z'
loop_
_atom_site_label
_atom_site_type_symbol
_atom_site_fract_x
_atom_site_fract_y
_atom_site_fract_z
Br1 Br 0.500 0.500 0.666
In1 In 0.000 0.000 0.038
In2 In 0.500 0.500 0.286
Mg1 Mg 0.000 0.000 0.509
```

## Properties
E_form (uncorrected) in eV per formula unit: -1.4
Crystal system: tetragonal
Excess energy over the best structure of this formula in the dataset in eV/f.u.: 0.00

***

Below is a geometry-optimized Mg2InBr structure, with properties calculated at the GGA-PBE level.

Geometry as CIF:
```
data_Mg2InBr
_cell_length_a 11.378
_cell_length_b 11.378
_cell_length_c 11.378
_cell_angle_alpha 17.64
_cell_angle_beta 17.64
_cell_angle_gamma 17.64
_symmetry_space_group_name_H-M 'P 1'
_symmetry_Int_Tables_number 1
loop_
_symmetry_equiv_pos_as_xyz
'x,y,z'
loop_
_atom_site_label
_atom_site_type_symbol
_atom_site_fract_x
_atom_site_fract_y
_atom_site_fract_z
Br1 Br 0.531 0.531 0.531
In1 In 0.731 0.731 0.731
Mg1 Mg 0.991 0.991 0.991
Mg2 Mg 0.248 0.248 0.248
```

## Properties
E_form (uncorrected) in eV per formula unit: -1.5
Crystal system: trigonal
Excess energy over the best structure of this formula in the dataset in eV/f.u.: 0.24

***

Below is a geometry-optimized MgInBr2 structure, with properties calculated at the GGA-PBE level.

Geometry as CIF:
```
data_MgInBr2
_cell_length_a 3.772
_cell_length_b 7.010
_cell_length_c 7.011
_cell_angle_alpha 42.81
_cell_angle_beta 90.00
_cell_angle_gamma 90.00
_symmetry_space_group_name_H-M 'P 1'
_symmetry_Int_Tables_number 1
loop_
_symmetry_equiv_pos_as_xyz
'x,y,z'
loop_
_atom_site_label
_atom_site_type_symbol
_atom_site_fract_x
_atom_site_fract_y
_atom_site_fract_z
Br1 Br 0.000 0.920 0.920
Br2 Br 0.500 0.225 0.225
In1 In 0.000 0.574 0.574
Mg1 Mg 0.500 0.780 0.780
```

## Properties
E_form (uncorrected) in eV per formula unit: -3.1
Crystal system: orthorhombic
Excess energy over the best structure of this formula in the dataset in eV/f.u.: 0.59

***

Below is a geometry-optimized MgInBr2 structure, with properties calculated at the GGA-PBE level.

Geometry as CIF:
```
data_MgInBr2
_cell_length_a 3.529
_cell_length_b 3.812
_cell_length_c 11.390
_cell_angle_alpha 66.40
_cell_angle_beta 90.00
_cell_angle_gamma 90.00
_symmetry_space_group_name_H-M 'P 1'
_symmetry_Int_Tables_number 1
loop_
_symmetry_equiv_pos_as_xyz
'x,y,z'
loop_
_atom_site_label
_atom_site_type_symbol
_atom_site_fract_x
_atom_site_fract_y
_atom_site_fract_z
Br1 Br 0.000 0.814 0.905
Br2 Br 0.000 0.686 0.595
In1 In 0.500 0.250 0.250
Mg1 Mg 0.500 0.750 0.750
```

## Properties
E_form (uncorrected) in eV per formula unit: -2.9
Crystal system: monoclinic
Excess energy over the best structure of this formula in the dataset in eV/f.u.: 0.77

***

Below is a geometry-optimized Mg2InBr structure, with properties calculated at the GGA-PBE level.

Geometry as CIF:
```
data_Mg2InBr
_cell_length_a 7.308
_cell_length_b 7.308
_cell_length_c 7.020
_cell_angle_alpha 58.63
_cell_angle_beta 58.63
_cell_angle_gamma 90.00
_symmetry_space_group_name_H-M 'P 1'
_symmetry_Int_Tables_number 1
loop_
_symmetry_equiv_pos_as_xyz
'x,y,z'
loop_
_atom_site_label
_atom_site_type_symbol
_atom_site_fract_x
_atom_site_fract_y
_atom_site_fract_z
Mg1 Mg 0.617 0.125 0.250
Mg2 Mg 0.133 0.625 0.250
Mg3 Mg 0.375 0.383 0.750
Mg4 Mg 0.875 0.867 0.750
Br1 Br 0.500 0.500 0.000
Br2 Br 0.250 0.750 0.500
In1 In 0.000 0.000 0.000
In2 In 0.750 0.250 0.500
```

## Properties
E_form (uncorrected) in eV per formula unit: -0.7
Crystal system: tetragonal
Excess energy over the best structure of this formula in the dataset in eV/f.u.: 1.00

***

Below is a geometry-optimized MgIn2MoBr structure, with properties calculated at the GGA-PBE level.

Geometry as CIF:
```
data_MgIn2MoBr
_cell_length_a 5.592
_cell_length_b 5.135
_cell_length_c 5.592
_cell_angle_alpha 90.00
_cell_angle_beta 90.00
_cell_angle_gamma 90.00
_symmetry_space_group_name_H-M 'P 1'
_symmetry_Int_Tables_number 1
loop_
_symmetry_equiv_pos_as_xyz
'x,y,z'
loop_
_atom_site_label
_atom_site_type_symbol
_atom_site_fract_x
_atom_site_fract_y
_atom_site_fract_z
Mo1 Mo 0.500 0.500 0.500
Mg1 Mg 0.000 0.000 0.000
Br1 Br 0.000 0.500 0.000
In1 In 0.000 0.000 0.500
In2 In 0.500 0.000 0.000
```

## Properties
E_form (uncorrected) in eV per formula unit: 4.6
Crystal system: tetragonal